1.
The following is a GGA-PBE calculation of an optimized crystal structure of In3GaSn3, from the Alexandria database.

a b c (Å): 8.1270 8.1270 8.1270
angles (deg): 90.00 90.00 90.00
Space group Pm-3n (No. 223)
Symmetry-distinct sites (fractional):
1 In 0.0000 0.2500 0.5000 (multiplicity 6)
2 Ga 0.0000 0.0000 0.0000 (multiplicity 2)
3 Sn 0.0000 0.5000 0.2500 (multiplicity 6)

Output
Electronic total energy, eV for the cell shown: -41.236
Calculated formation energy, eV per atom: 0.376
N(E_F), states/eV per atom: 0.80

---

2.
The following is a GGA-PBE calculation of an optimized crystal structure of Ac5LaMg6, from the Alexandria database.

a b c (Å): 5.7820 17.3554 8.1872
angles (deg): 90.00 90.00 90.00
Space group Cmmm (No. 65)
Symmetry-distinct sites (fractional):
1 Ac 0.0000 0.0000 0.0000 (multiplicity 2)
2 Ac 0.0000 0.3327 0.0000 (multiplicity 4)
3 Ac 0.0000 0.3332 0.5000 (multiplicity 4)
4 La 0.0000 0.0000 0.5000 (multiplicity 2)
5 Mg 0.0000 0.1639 0.2545 (multiplicity 8)
6 Mg 0.0000 0.5000 0.2567 (multiplicity 4)

Output
Electronic total energy, eV for the cell shown: -72.157
Calculated formation energy, eV per atom: -0.087
N(E_F), states/eV per atom: 1.13

---

3.
The following is a GGA-PBE calculation of an optimized crystal structure of K2TaAg, from the Alexandria database.

a b c (Å): 2.9321 4.4022 10.4104
angles (deg): 90.00 90.12 90.00
Space group Pm (No. 6)
Symmetry-distinct sites (fractional):
1 K 0.0000 0.0000 0.0000 (multiplicity 1)
2 K 0.4985 0.5000 0.4041 (multiplicity 1)
3 Ta 0.0013 0.0000 0.6662 (multiplicity 1)
4 Ag 0.5023 0.5000 0.7613 (multiplicity 1)

Output
Electronic total energy, eV for the cell shown: -13.705
Calculated formation energy, eV per atom: 0.799
N(E_F), states/eV per atom: 0.93

---

4.
The following is a GGA-PBE calculation of an optimized crystal structure of Li3PbSe, from the Alexandria database.

a b c (Å): 5.1024 5.1024 5.1024
angles (deg): 90.00 90.00 90.00
Space group Pm-3m (No. 221)
Symmetry-distinct sites (fractional):
1 Li 0.0000 0.0000 0.5000 (multiplicity 3)
2 Pb 0.0000 0.0000 0.0000 (multiplicity 1)
3 Se 0.5000 0.5000 0.5000 (multiplicity 1)

Output
Electronic total energy, eV for the cell shown: -12.127
Formation energy without anion corrections, kJ/mol of atoms: 15.6
N(E_F), states/eV per atom: 1.07

---

5.
The following is a GGA-PBE calculation of an optimized crystal structure of LaYCuTc, from the Alexandria database.

a b c (Å): 7.0599 7.0599 7.0599
angles (deg): 90.00 90.00 90.00
Space group F-43m (No. 216)
Symmetry-distinct sites (fractional):
1 La 0.0000 0.0000 0.0000 (multiplicity 4)
2 Y 0.0000 0.0000 0.5000 (multiplicity 4)
3 Cu 0.2500 0.2500 0.7500 (multiplicity 4)
4 Tc 0.2500 0.2500 0.2500 (multiplicity 4)

Output
Electronic total energy, eV for the cell shown: -103.389
Calculated formation energy, eV per atom: 0.002
N(E_F), states/eV per atom: 1.06

---

6.
The following is a GGA-PBE calculation of an optimized crystal structure of AsOs2Cl, from the Alexandria database.

a b c (Å): 2.8683 2.8683 8.9472
angles (deg): 90.00 90.00 90.00
Space group P4mm (No. 99)
Symmetry-distinct sites (fractional):
1 As 0.0000 0.0000 0.0000 (multiplicity 1)
2 Os 0.0000 0.0000 0.6047 (multiplicity 1)
3 Os 0.5000 0.5000 0.7914 (multiplicity 1)
4 Cl 0.5000 0.5000 0.4029 (multiplicity 1)

Output
Electronic total energy, eV for the cell shown: -27.515
Formation energy without anion corrections, kJ/mol of atoms: 34.7
N(E_F), states/eV per atom: 0.62